VASP calculation (PBE) on a relaxed MnCu6Pt crystal.

Unit cell a=5.271 b=5.271 c=4.257 alpha=90.00 beta=90.00 gamma=120.00
Atoms (fractional coordinates):
Mn  0.000  0.000  0.000
Cu  0.006  0.503  0.000
Cu  0.169  0.338  0.500
Cu  0.169  0.831  0.500
Cu  0.497  0.503  0.000
Cu  0.497  0.994  0.000
Cu  0.662  0.831  0.500
Pt  0.667  0.333  0.500

ΔE_f   -0.019 eV per atom
Final energy   -39.9 eV per cell